Run w
20
Lattice="7.705 0.000 0.000 0.000 7.771 0.000 -7.688 0.000 10.982" Properties=species:S:1:pos:R:3 comment="Rb2CaFeBr6, optimized geometry, DFT PBE-GGA" sg="P2_1/c (14)" total_magnetization_mub_per_cell=8.0 pbc="T T T"
Rb -0.070 0.317 2.736
Rb -3.914 3.568 8.227
Rb 3.931 4.203 2.755
Rb 0.087 7.454 8.246
Ca 3.853 0.000 0.000
Ca 0.009 3.886 5.491
Fe -3.844 0.000 5.491
Fe 0.000 3.886 0.000
Br -6.136 1.746 10.680
Br -2.292 2.140 5.189
Br -5.565 5.455 10.673
Br -1.721 6.202 5.182
Br -3.420 0.036 8.111
Br 0.424 3.850 2.620
Br -0.406 3.921 8.362
Br 3.438 7.735 2.871
Br 1.738 1.569 5.800
Br 5.582 2.316 0.309
Br 2.309 5.631 5.794
Br 6.153 6.025 0.302

Run x
10
Lattice="0.000 5.502 5.502 5.502 0.000 5.502 5.502 5.502 0.000" Properties=species:S:1:pos:R:3 comment="Rb2CaFeBr6, optimized geometry, DFT PBE-GGA" sg="Fm-3m (225)" total_magnetization_mub_per_cell=4.0 pbc="T T T"
Rb 2.751 2.751 2.751
Rb 8.254 8.254 8.254
Ca 0.000 0.000 0.000
Fe 5.502 5.502 5.502
Br 5.502 5.502 2.871
Br 5.502 2.871 5.502
Br 8.134 5.502 5.502
Br 2.871 5.502 5.502
Br 5.502 8.134 5.502
Br 5.502 5.502 8.134

It is run w that is most stable; the runner-up trails by 1.0 kJ/mol of atoms.

Run w
8
Lattice="-3.933 3.933 4.154 3.933 -3.933 4.154 3.933 3.933 -4.154" Properties=species:S:1:pos:R:3 comment="Ca2GaBr, optimized geometry, DFT PBE-GGA" sg="I-42d (122)" total_magnetization_mub_per_cell=0.0 pbc="T T T"
Ca 1.966 1.943 -1.038
Ca 1.990 -1.966 5.192
Ca 1.966 1.990 3.115
Ca 1.943 5.899 1.038
Ga 3.933 0.000 2.077
Ga 0.000 0.000 4.154
Br 0.000 0.000 0.000
Br 0.000 3.933 2.077

Run x
4
Lattice="2.026 1.169 8.140 -2.026 1.169 8.140 0.000 -2.339 8.140" Properties=species:S:1:pos:R:3 comment="Ca2GaBr, optimized geometry, DFT PBE-GGA" sg="R-3m (166)" total_magnetization_mub_per_cell=0.0 pbc="T T T"
Ca 0.000 0.000 5.985
Ca 0.000 0.000 18.434
Ga 0.000 0.000 12.210
Br 0.000 0.000 0.000

Run y
4
Lattice="3.601 0.000 0.000 0.000 3.601 0.000 0.000 0.000 8.299" Properties=species:S:1:pos:R:3 comment="Ca2GaBr, optimized geometry, DFT PBE-GGA" sg="P4/mmm (123)" total_magnetization_mub_per_cell=0.0 pbc="T T T"
Ca 0.000 0.000 1.876
Ca 0.000 0.000 6.422
Ga 1.801 1.801 0.000
Br 1.801 1.801 4.149

It is run x that is most stable; the runner-up trails by 5.1 kJ/mol of atoms.

Run w
8
Lattice="-4.390 4.390 2.873 4.390 -4.390 2.873 4.390 4.390 -2.873" Properties=species:S:1:pos:R:3 comment="CaGa2Br, optimized geometry, DFT PBE-GGA" sg="I-42d (122)" total_magnetization_mub_per_cell=0.0 pbc="T T T"
Ca 0.000 0.000 0.000
Ca 0.000 4.390 1.436
Ga 2.195 2.226 -0.718
Ga 6.553 2.195 0.718
Ga 2.195 2.163 2.155
Ga -2.163 2.195 3.591
Br 4.390 0.000 1.436
Br 0.000 0.000 2.873

Run x
4
Lattice="0.000 3.769 3.769 3.769 0.000 3.769 3.769 3.769 0.000" Properties=species:S:1:pos:R:3 comment="CaGa2Br, optimized geometry, DFT PBE-GGA" sg="Fm-3m (225)" total_magnetization_mub_per_cell=0.0 pbc="T T T"
Ca 0.000 0.000 0.000
Ga 1.884 1.884 1.884
Ga 5.653 5.653 5.653
Br 3.769 3.769 3.769

It is run w that is most stable; the runner-up trails by 22.1 kJ/mol of atoms.

Run w
18
Lattice="7.665 -6.087 0.000 7.665 6.087 0.000 -1.180 0.000 7.005" Properties=species:S:1:pos:R:3 comment="CaGa2Br6, optimized geometry, DFT PBE-GGA" sg="C2/c (15)" total_magnetization_mub_per_cell=0.0 pbc="T T T"
Ca 6.781 5.236 5.254
Ca 7.370 -5.236 1.751
Ga 5.555 0.936 5.208
Ga 6.145 -0.936 1.705
Ga 8.006 0.936 5.299
Ga 8.596 -0.936 1.797
Br 0.969 1.040 4.278
Br 4.691 2.952 6.051
Br 1.559 -1.040 0.776
Br 4.763 0.819 2.816
Br 8.871 2.952 4.456
Br 4.173 -0.819 6.319
Br 9.978 0.819 0.686
Br 5.280 -2.952 2.549
Br 9.388 -0.819 4.188
Br 12.592 1.040 6.229
Br 9.461 -2.952 0.954
Br 13.182 -1.040 2.726

Run x
18
Lattice="6.775 -6.434 0.000 6.775 6.434 0.000 -3.375 0.000 8.063" Properties=species:S:1:pos:R:3 comment="CaGa2Br6, optimized geometry, DFT PBE-GGA" sg="C2/c (15)" total_magnetization_mub_per_cell=0.0 pbc="T T T"
Ca 4.244 5.454 6.047
Ca 5.931 -5.454 2.016
Ga 1.723 1.213 6.084
Ga 3.411 -1.213 2.052
Ga 6.764 1.213 6.010
Ga 8.452 -1.213 1.979
Br -0.708 1.196 5.058
Br 1.951 3.737 6.257
Br 0.979 -1.196 1.027
Br 4.715 0.050 0.264
Br 3.028 -0.050 4.295
Br 6.536 3.737 5.837
Br 3.639 -3.737 2.226
Br 7.147 0.050 3.767
Br 5.460 -0.050 7.798
Br 9.196 1.196 7.036
Br 8.224 -3.737 1.805
Br 10.883 -1.196 3.004

It is run w that is most stable; the runner-up trails by 6.7 kJ/mol of atoms.